First-principles (GGA-PBE) data for NdThZnGe after structural relaxation, as listed in the Alexandria database.

Cell: 7.3580 7.3580 7.3580 Å, 90.00 90.00 90.00°
Fractional coordinates of all 16 atoms:
Nd  0.0000  0.0000  0.0000
Nd  0.0000  0.5000  0.5000
Nd  0.5000  0.0000  0.5000
Nd  0.5000  0.5000  0.0000
Th  0.0000  0.0000  0.5000
Th  0.0000  0.5000  0.0000
Th  0.5000  0.0000  0.0000
Th  0.5000  0.5000  0.5000
Zn  0.2500  0.2500  0.2500
Zn  0.2500  0.7500  0.7500
Zn  0.7500  0.2500  0.7500
Zn  0.7500  0.7500  0.2500
Ge  0.2500  0.2500  0.7500
Ge  0.2500  0.7500  0.2500
Ge  0.7500  0.2500  0.2500
Ge  0.7500  0.7500  0.7500

Calculated values
Calculated formation energy in eV per atom: -0.40
SG: No. 216
Calculated total energy in eV/atom: -4.9241